[1]
A plane-wave DFT calculation with GGA-PBE was carried out for a relaxed Sm2PuPaAs4 crystal.

Geometry as CIF:
```
data_Sm2PuPaAs4
_chemical_formula_sum 'Sm2 Pu1 Pa1 As4'
_cell_length_a 7.198
_cell_length_b 4.167
_cell_length_c 7.216
_cell_angle_alpha 90.00
_cell_angle_beta 109.47
_cell_angle_gamma 90.00
_space_group_name_H-M_alt 'P 1'
_space_group_IT_number 1
loop_
_space_group_symop_operation_xyz
'x,y,z'
loop_
_atom_site_label
_atom_site_type_symbol
_atom_site_fract_x
_atom_site_fract_y
_atom_site_fract_z
Sm1 Sm 0.000 0.000 0.000
Sm2 Sm 0.500 0.500 0.000
Pu1 Pu 0.000 0.500 0.500
Pa1 Pa 0.500 0.000 0.500
As1 As 0.251 0.000 0.741
As2 As 0.256 0.500 0.259
As3 As 0.744 0.500 0.741
As4 As 0.749 0.000 0.259
```

Output
DFT formation energy	-1301	meV/atom
space group	No. 10

---

[2]
A plane-wave DFT calculation with GGA-PBE was carried out for a relaxed Ba4OsO5 crystal.

Geometry as CIF:
```
data_Ba4OsO5
_chemical_formula_sum 'Ba4 Os1 O5'
_cell_length_a 6.426
_cell_length_b 6.426
_cell_length_c 6.426
_cell_angle_alpha 101.36
_cell_angle_beta 101.36
_cell_angle_gamma 127.31
_space_group_name_H-M_alt 'P 1'
_space_group_IT_number 1
loop_
_space_group_symop_operation_xyz
'x,y,z'
loop_
_atom_site_label
_atom_site_type_symbol
_atom_site_fract_x
_atom_site_fract_y
_atom_site_fract_z
Ba1 Ba 0.096 0.711 0.807
Ba2 Ba 0.289 0.096 0.385
Ba3 Ba 0.711 0.904 0.615
Ba4 Ba 0.904 0.289 0.193
Os1 Os 0.533 0.533 0.000
O1 O 0.144 0.144 0.000
O2 O 0.264 0.431 0.662
O3 O 0.431 0.770 0.167
O4 O 0.602 0.264 0.833
O5 O 0.770 0.602 0.338
```

Output
raw formation energy	-166.8	kJ per mole of atoms
space group	No. 79

---

DOS(E_F) / states/eV per atom: 1.67, 0.45